First-principles (PBE-GGA) data for an optimized crystal structure of NaLi2SmSb2, as listed in Alexandria.

It has space group P-3m1 (No. 164), with a = 4.6792 Å, b = 4.6792 Å, c = 7.4716 Å, α = 90.00°, β = 90.00° and γ = 120.00°. The inequivalent atoms are Na at (0.0000, 0.0000, 0.0000), Li at (0.3333, 0.6667, 0.1642), Sm at (0.0000, 0.0000, 0.5000) and Sb at (0.3333, 0.6667, 0.7427).

As for the volume: 141.7 Å³ per cell. The raw formation energy comes out at -0.78 eV/atom. As for the electronic total energy: -3.8009 eV per atom.